Entry from the Alexandria database: a relaxed K2FeNi3F12 crystal (PBE+U).

Unit cell a=7.333 b=7.333 c=7.333 alpha=58.48 beta=58.48 gamma=58.48
Site moments in Bohr magnetons follow the coordinates.
Fractional positions:
F1 0.926 0.926 0.322  0.10
F2 0.924 0.323 0.323  -0.02
F3 0.074 0.678 0.074  0.10
F4 0.323 0.924 0.323  -0.02
F5 0.322 0.926 0.926  0.10
K1 0.383 0.383 0.383  0.00
F6 0.076 0.677 0.677  -0.02
F7 0.677 0.076 0.677  -0.02
Ni1 0.000 0.500 0.000  1.68
F8 0.323 0.323 0.924  -0.02
F9 0.678 0.074 0.074  0.10
Ni2 0.500 0.000 0.000  1.68
Ni3 0.000 0.000 0.500  1.68
K2 0.617 0.617 0.617  0.00
Fe1 0.000 0.000 0.000  4.46
F10 0.926 0.322 0.926  0.10
F11 0.074 0.074 0.678  0.10
F12 0.677 0.677 0.076  -0.02

Computed properties:
* VASP energy: -4.422 eV/atom
* space-group type: R-3m, No. 166